#w
{"formula": "BaTaAg2", "functional": "PBE", "state": "relaxed", "lattice": [[1.5740, 0.9087, 10.6302], [-1.5740, 0.9087, 10.6302], [0.0000, -1.8175, 10.6302]], "species": ["Ba", "Ta", "Ag", "Ag"], "frac_coords": [[0.0000, 0.0000, 0.0000], [0.5000, 0.5000, 0.5000], [0.2387, 0.2387, 0.2387], [0.7613, 0.7613, 0.7613]]}

#x
{"formula": "BaTaAg2", "functional": "PBE", "state": "relaxed", "lattice": [[3.3737, -4.4579, 0.0000], [3.3737, 4.4579, 0.0000], [0.0000, 0.0000, 3.0562]], "species": ["Ba", "Ta", "Ag", "Ag"], "frac_coords": [[0.0000, 0.0000, 0.0000], [0.5000, 0.5000, 0.0000], [0.0000, 0.5000, 0.5000], [0.5000, 0.0000, 0.5000]]}

Stability check: which of them is most stable? #x.

#w
{"formula": "BaTaAg2", "functional": "PBE", "state": "relaxed", "lattice": [[3.3883, 0.0000, 0.0000], [0.0000, 3.3883, 0.0000], [0.0000, 0.0000, 8.3376]], "species": ["Ba", "Ta", "Ag", "Ag"], "frac_coords": [[0.0000, 0.0000, 0.0000], [0.5000, 0.5000, 0.3187], [0.0000, 0.0000, 0.5037], [0.5000, 0.5000, 0.6903]]}

#x
{"formula": "BaTaAg2", "functional": "PBE", "state": "relaxed", "lattice": [[3.0642, 0.0000, 0.0000], [0.0000, 4.7412, 0.0000], [-1.5122, 0.0000, 6.8603]], "species": ["Ba", "Ta", "Ag", "Ag"], "frac_coords": [[0.0000, 0.0000, 0.0000], [0.6921, 0.5000, 0.3774], [0.2508, 0.0000, 0.4914], [0.3679, 0.5000, 0.7331]]}

Stability check: which of them is most stable? #w.

#w
{"formula": "BaTa3Ag", "functional": "PBE", "state": "relaxed", "lattice": [[5.1305, 0.0000, 0.0000], [0.0000, 5.1305, 0.0000], [0.0000, 0.0000, 5.1305]], "species": ["Ba", "Ta", "Ta", "Ta", "Ag"], "frac_coords": [[0.0000, 0.0000, 0.0000], [0.0000, 0.5000, 0.5000], [0.5000, 0.0000, 0.5000], [0.5000, 0.5000, 0.0000], [0.5000, 0.5000, 0.5000]]}

#x
{"formula": "BaTa3Ag", "functional": "PBE", "state": "relaxed", "lattice": [[5.0549, 0.0000, 0.0000], [0.0000, 5.0549, 0.0000], [0.0000, 0.0000, 5.0549]], "species": ["Ba", "Ta", "Ta", "Ta", "Ag"], "frac_coords": [[0.0000, 0.0000, 0.0000], [0.0000, 0.0000, 0.5000], [0.0000, 0.5000, 0.0000], [0.5000, 0.0000, 0.0000], [0.5000, 0.5000, 0.5000]]}

Stability check: which of them is most stable? #w.